Crystalline MoSeCl7O at its relaxed geometry, computed with GGA+U.

```
20
Lattice="8.130 0.000 0.000 2.798 8.254 0.000 3.955 -1.186 9.501" Properties=species:S:1:pos:R:3 pbc="T T T"
Mo 2.387 1.190 0.968
Mo 12.497 5.878 8.533
Se 7.143 5.900 2.633
Se 7.741 1.169 6.868
Cl 3.091 1.898 3.083
Cl 4.725 7.253 1.871
Cl 5.739 2.048 6.613
Cl 7.025 6.832 4.632
Cl 3.689 3.012 0.073
Cl 5.941 4.107 3.033
Cl 9.510 7.133 8.326
Cl 5.374 -0.064 1.175
Cl 8.943 2.962 6.468
Cl 11.195 4.056 9.428
Cl 7.859 0.236 4.869
Cl 9.145 5.020 2.888
Cl 10.159 -0.184 7.630
Cl 11.793 5.170 6.418
O 5.941 5.293 8.690
O 8.943 1.776 0.811
```

Summary:
DFT total energy = -70.687 eV for the cell shown
Magnetic moment = 1.0 μB/f.u.